The following is a DFT calculation (PBE) of a relaxed TmCuAg crystal. Values from VASP.

```
&SYSTEM
  ibrav = 0, nat = 3, ntyp = 3
/
ATOMIC_SPECIES
Ag 107.87 Ag.upf
Cu 63.55 Cu.upf
Tm 168.93 Tm.upf
ATOMIC_POSITIONS crystal
Ag 0.000 0.000 0.000
Cu 0.500 0.500 0.500
Tm 0.750 0.750 0.750
CELL_PARAMETERS angstrom
0.076 -4.479 1.204
-3.309 -2.869 -1.529
1.016 -3.236 -3.165
```

## Properties
Size of the total moment: 0.000 μB per formula unit
Energy of formation from the pure elements: 0.2410 eV per atom
ΔE to the lowest computed polymorph: 100 kJ/mol of formula units
Space group: F-43m, No. 216
Density: 8.007 Mg/m³
E: -10.29 eV for the cell shown

***

The following is a DFT calculation (PBE) of a relaxed TmCuAg crystal. Values from VASP.

```
&SYSTEM
  ibrav = 0, nat = 3, ntyp = 3
/
ATOMIC_SPECIES
Ag 107.87 Ag.upf
Tm 168.93 Tm.upf
Cu 63.55 Cu.upf
ATOMIC_POSITIONS crystal
Ag 0.250 0.250 0.250
Tm 0.750 0.750 0.750
Cu 0.000 0.000 0.000
CELL_PARAMETERS angstrom
0.000 3.180 3.180
3.180 0.000 3.180
3.180 3.180 0.000
```

## Properties
Size of the total moment: 0.000 μB per formula unit
Energy of formation from the pure elements: -0.1054 eV per atom
ΔE to the lowest computed polymorph: 0 kJ/mol of formula units
Space group: F-43m, No. 216
Density: 8.788 Mg/m³
E: -11.33 eV for the cell shown

***

The following is a DFT calculation (PBE) of a relaxed TmCuAg4 crystal. Values from VASP.

```
&SYSTEM
  ibrav = 0, nat = 6, ntyp = 3
/
ATOMIC_SPECIES
Ag 107.87 Ag.upf
Tm 168.93 Tm.upf
Cu 63.55 Cu.upf
ATOMIC_POSITIONS crystal
Ag 0.124 0.625 0.625
Ag 0.625 0.625 0.124
Ag 0.625 0.124 0.625
Ag 0.625 0.625 0.625
Tm 0.250 0.250 0.250
Cu 0.000 0.000 0.000
CELL_PARAMETERS angstrom
-0.258 -2.734 4.731
-2.580 2.200 4.293
-4.763 -2.091 1.695
```

## Properties
Size of the total moment: 0.001 μB per formula unit
Energy of formation from the pure elements: -0.0355 eV per atom
Space group: F-43m, No. 216
Density: 9.524 Mg/m³
E: -19.70 eV for the cell shown